Entry from Alexandria via LeMat-Bulk: an optimized crystal structure of K2DyTeSe4 (PBE-GGA).

Lattice parameters (Å, degrees): 8.623 8.623 8.549 116.94 116.94 90.02
Fractional coordinates of all 16 atoms:
Te: 0.000 0.000 0.000
Te: 0.500 0.500 0.500
K: 0.000 0.000 0.500
K: 0.500 0.000 0.000
K: 0.500 0.500 0.000
K: 0.500 0.000 0.500
Se: 0.770 0.304 0.553
Se: 0.209 0.238 0.990
Se: 0.262 0.291 0.510
Se: 0.791 0.762 0.010
Se: 0.230 0.696 0.447
Se: 0.804 0.270 0.053
Se: 0.738 0.709 0.490
Se: 0.196 0.730 0.947
Dy: 0.000 0.500 0.000
Dy: 0.000 0.500 0.500

N(E_F) in states/eV/atom: 0.18
Calculated total energy in Ha/atom: -0.149
SG: No. 15
Formation energy without anion corrections in eV/atom: -1.071